(1)
## HgPdSe2 (PBE)

Data for HgPdSe2 after structural relaxation.

Results
As for the space group: R3m. Its calculated volume is 24.4 Å³/atom.

a = 3.759 Å, b = 3.759 Å, c = 8.280 Å
α = 76.88°, β = 76.88°, γ = 60.00°
Positions (direct):
Hg 0.499 0.499 0.504
Pd 0.667 0.667 0.998
Se 0.055 0.055 0.834
Se 0.279 0.279 0.164



(2)
## HgPdSe2 (PBE)

Data for HgPdSe2 after structural relaxation.

Results
As for the space group: R-3m. Its calculated volume is 26.7 Å³/atom.

a = 8.260 Å, b = 8.260 Å, c = 8.260 Å
α = 27.60°, β = 27.60°, γ = 27.60°
Positions (direct):
Se 0.901 0.901 0.901
Se 0.099 0.099 0.099
Hg 0.500 0.500 0.500
Pd 0.000 0.000 0.000



(3)
## Hg2PdSe (PBE)

Data for Hg2PdSe after structural relaxation.

Results
As for the space group: R-3m. Its calculated volume is 21.9 Å³/atom.

a = 3.013 Å, b = 3.013 Å, c = 11.297 Å
α = 82.34°, β = 82.34°, γ = 60.00°
Positions (direct):
Se 0.500 0.500 0.500
Hg 0.081 0.081 0.758
Hg 0.919 0.919 0.242
Pd 0.000 0.000 0.000



(4)
## HgPdSe2 (PBE)

Data for HgPdSe2 after structural relaxation.

Results
As for the space group: I-42d. Its calculated volume is 27.0 Å³/atom.

a = 6.048 Å, b = 6.048 Å, c = 7.296 Å
α = 65.51°, β = 65.51°, γ = 90.00°
Positions (direct):
Se 0.582 0.125 0.250
Se 0.168 0.625 0.250
Se 0.375 0.418 0.750
Se 0.875 0.832 0.750
Hg 0.000 0.000 0.000
Hg 0.750 0.250 0.500
Pd 0.500 0.500 0.000
Pd 0.250 0.750 0.500



(5)
## HgPdSe2 (PBE)

Data for HgPdSe2 after structural relaxation.

Results
As for the space group: C2/m. Its calculated volume is 25.6 Å³/atom.

a = 3.718 Å, b = 4.819 Å, c = 6.396 Å
α = 76.32°, β = 90.00°, γ = 112.69°
Positions (direct):
Hg 0.000 0.000 0.500
Pd 0.500 0.000 0.000
Se 0.848 0.697 0.213
Se 0.152 0.303 0.787



(6)
## HgPd5Se (PBE)

Data for HgPd5Se after structural relaxation.

Results
As for the space group: P4/mmm. Its calculated volume is 17.0 Å³/atom.

a = 4.077 Å, b = 4.077 Å, c = 7.177 Å
α = 90.00°, β = 90.00°, γ = 90.00°
Positions (direct):
Se 0.000 0.000 0.500
Hg 0.500 0.500 0.000
Pd 0.000 0.500 0.288
Pd 0.000 0.500 0.712
Pd 0.500 0.000 0.288
Pd 0.500 0.000 0.712
Pd 0.000 0.000 0.000



(7)
## Hg2PdSe (PBE)

Data for Hg2PdSe after structural relaxation.

Results
As for the space group: I-42d. Its calculated volume is 22.0 Å³/atom.

a = 7.940 Å, b = 7.940 Å, c = 6.272 Å
α = 50.73°, β = 50.73°, γ = 90.00°
Positions (direct):
Se 0.500 0.500 0.000
Se 0.250 0.750 0.500
Hg 0.630 0.125 0.250
Hg 0.120 0.625 0.250
Hg 0.375 0.370 0.750
Hg 0.875 0.880 0.750
Pd 0.000 0.000 0.000
Pd 0.750 0.250 0.500



(8)
## Hg2Pd5Se2 (PBE)

Data for Hg2Pd5Se2 after structural relaxation.

Results
As for the space group: P-1. Its calculated volume is 18.6 Å³/atom.

a = 4.915 Å, b = 6.023 Å, c = 8.279 Å
α = 124.06°, β = 114.38°, γ = 95.34°
Positions (direct):
Hg 0.711 0.335 0.245
Hg 0.289 0.665 0.755
Pd 0.533 0.788 0.179
Pd 0.467 0.212 0.821
Pd 0.635 0.369 0.585
Pd 0.365 0.631 0.415
Pd 0.000 0.000 0.000
Se 0.894 0.110 0.732
Se 0.106 0.890 0.268



(9)
## Hg2Pd8Se (PBE)

Data for Hg2Pd8Se after structural relaxation.

Results
As for the space group: Immm. Its calculated volume is 17.6 Å³/atom.

a = 4.335 Å, b = 7.249 Å, c = 7.464 Å
α = 119.06°, β = 106.88°, γ = 90.00°
Positions (direct):
Hg 0.143 0.643 0.286
Hg 0.857 0.357 0.714
Pd 0.658 0.933 0.316
Pd 0.342 0.617 0.684
Pd 0.197 0.197 0.394
Pd 0.000 0.200 0.000
Pd 0.803 0.803 0.606
Pd 0.658 0.383 0.316
Pd 0.342 0.067 0.684
Pd 0.000 0.800 0.000
Se 0.500 0.000 0.000



(10)
## HgPdSe2 (PBE)

Data for HgPdSe2 after structural relaxation.

Results
As for the space group: R-3m. Its calculated volume is 27.6 Å³/atom.

a = 9.328 Å, b = 9.328 Å, c = 9.328 Å
α = 23.19°, β = 23.19°, γ = 23.19°
Positions (direct):
Se 0.882 0.882 0.882
Se 0.118 0.118 0.118
Hg 0.000 0.000 0.000
Pd 0.500 0.500 0.500



(11)
## Ta2Hg2PdSe6 (PBE)

Data for Ta2Hg2PdSe6 after structural relaxation.

Results
As for the space group: C2/m. Its calculated volume is 27.7 Å³/atom.

a = 6.270 Å, b = 6.270 Å, c = 9.781 Å
α = 99.38°, β = 99.38°, γ = 122.68°
Positions (direct):
Ta 0.360 0.640 0.500
Ta 0.640 0.360 0.500
Hg 0.758 0.242 0.000
Hg 0.242 0.758 0.000
Pd 0.000 0.000 0.500
Se 0.783 0.783 0.692
Se 0.071 0.420 0.662
Se 0.217 0.217 0.308
Se 0.420 0.071 0.662
Se 0.929 0.580 0.338
Se 0.580 0.929 0.338



(12)
## HgTePd2Se (PBE)

Data for HgTePd2Se after structural relaxation.

Results
As for the space group: P4/mmm. Its calculated volume is 27.7 Å³/atom.

a = 5.021 Å, b = 5.490 Å, c = 5.021 Å
α = 90.00°, β = 90.00°, γ = 90.00°
Positions (direct):
Te 0.000 0.000 0.000
Se 0.500 0.500 0.500
Hg 0.000 0.500 0.000
Pd 0.000 0.000 0.500
Pd 0.500 0.000 0.000



Number 1: uncorrected formation energy -0.184 eV per atom. Number 2: uncorrected formation energy 0.228 eV per atom. Number 3: uncorrected formation energy 0.319 eV per atom. Number 4: uncorrected formation energy -0.114 eV per atom. Number 5: uncorrected formation energy -0.253 eV per atom. Number 6: uncorrected formation energy -0.197 eV per atom. Number 7: uncorrected formation energy 0.105 eV per atom. Number 8: uncorrected formation energy -0.146 eV per atom. Number 9: uncorrected formation energy -0.086 eV per atom. Number 10: uncorrected formation energy -0.187 eV per atom. Number 11: uncorrected formation energy -0.455 eV per atom. Number 12: uncorrected formation energy 0.522 eV per atom.